Entry 1:
# YLuBeCo (PBE-GGA, optimized geometry)
# Energy of formation from the pure elements (eV per atom): -0.0644
data_YLuBeCo
_symmetry_space_group_name_H-M 'F -4 3 m'
_symmetry_Int_Tables_number 216
_symmetry_space_group_name_Hall 'F -4 2 3'
_cell_length_a 6.667
_cell_length_b 6.667
_cell_length_c 6.667
_cell_angle_alpha 90.00
_cell_angle_beta 90.00
_cell_angle_gamma 90.00
loop_
_atom_site_label
_atom_site_type_symbol
_atom_site_fract_x
_atom_site_fract_y
_atom_site_fract_z
Y1 Y 0.000 0.000 0.000
Lu1 Lu 0.000 0.000 0.500
Be1 Be 0.250 0.250 0.250
Co1 Co 0.250 0.250 0.750



Entry 2:
# LaCePaGe (PBE-GGA, optimized geometry)
# Energy of formation from the pure elements (eV per atom): 0.0637
data_LaCePaGe
_symmetry_space_group_name_H-M 'F -4 3 m'
_symmetry_Int_Tables_number 216
_symmetry_space_group_name_Hall 'F -4 2 3'
_cell_length_a 7.472
_cell_length_b 7.472
_cell_length_c 7.472
_cell_angle_alpha 90.00
_cell_angle_beta 90.00
_cell_angle_gamma 90.00
loop_
_atom_site_label
_atom_site_type_symbol
_atom_site_fract_x
_atom_site_fract_y
_atom_site_fract_z
La1 La 0.000 0.000 0.000
Ce1 Ce 0.000 0.000 0.500
Pa1 Pa 0.250 0.250 0.250
Ge1 Ge 0.250 0.250 0.750



Entry 3:
# YTcPt2 (PBE-GGA, optimized geometry)
# Energy of formation from the pure elements (eV per atom): -0.1874
data_YTcPt2
_symmetry_space_group_name_H-M 'P 4 m m'
_symmetry_Int_Tables_number 99
_symmetry_space_group_name_Hall 'P 4 -2'
_cell_length_a 2.989
_cell_length_b 2.989
_cell_length_c 7.997
_cell_angle_alpha 90.00
_cell_angle_beta 90.00
_cell_angle_gamma 90.00
loop_
_atom_site_label
_atom_site_type_symbol
_atom_site_fract_x
_atom_site_fract_y
_atom_site_fract_z
Y1 Y 0.000 0.000 0.000
Tc1 Tc 0.500 0.500 0.712
Pt1 Pt 0.000 0.000 0.507
Pt2 Pt 0.500 0.500 0.261



Entry 4:
Below is crystalline YCN2 at its relaxed geometry, with properties calculated at the PBE-GGA level.

Cell and atoms, written as CIF:
```
data_YCN2
_symmetry_space_group_name_H-M 'P m n 21'
_symmetry_Int_Tables_number 31
_symmetry_space_group_name_Hall 'P 2ac -2'
_cell_length_a 3.668
_cell_length_b 5.027
_cell_length_c 5.783
_cell_angle_alpha 90.00
_cell_angle_beta 90.00
_cell_angle_gamma 90.00
loop_
_atom_site_label
_atom_site_type_symbol
_atom_site_fract_x
_atom_site_fract_y
_atom_site_fract_z
Y1 Y 0.000 0.247 0.000
C1 C 0.000 0.213 0.551
N1 N 0.000 0.036 0.389
N2 N 0.000 0.459 0.614
```



Entry 5:
Below is crystalline Ca2YBr at its relaxed geometry, with properties calculated at the PBE-GGA level.

Cell and atoms, written as CIF:
```
data_Ca2YBr
_symmetry_space_group_name_H-M 'C m m m'
_symmetry_Int_Tables_number 65
_symmetry_space_group_name_Hall '-C 2 2'
_cell_length_a 4.133
_cell_length_b 6.151
_cell_length_c 10.390
_cell_angle_alpha 90.00
_cell_angle_beta 90.00
_cell_angle_gamma 90.00
loop_
_atom_site_label
_atom_site_type_symbol
_atom_site_fract_x
_atom_site_fract_y
_atom_site_fract_z
Ca1 Ca 0.000 0.000 0.224
Y1 Y 0.000 0.500 0.500
Br1 Br 0.000 0.500 0.000
```



Entry 6:
# LiZn5Ag6 (PBE-GGA, optimized geometry)
# Energy of formation from the pure elements (eV per atom): -0.0818
data_LiZn5Ag6
_symmetry_space_group_name_H-M 'C 1 2/m 1'
_symmetry_Int_Tables_number 12
_symmetry_space_group_name_Hall '-C 2y'
_cell_length_a 4.238
_cell_length_b 12.469
_cell_length_c 7.324
_cell_angle_alpha 90.00
_cell_angle_beta 91.07
_cell_angle_gamma 90.00
loop_
_atom_site_label
_atom_site_type_symbol
_atom_site_fract_x
_atom_site_fract_y
_atom_site_fract_z
Li1 Li 0.000 0.000 0.000
Zn1 Zn 0.000 0.000 0.500
Zn2 Zn 0.000 0.330 0.000
Zn3 Zn 0.000 0.339 0.500
Ag1 Ag 0.000 0.166 0.254
Ag2 Ag 0.001 0.500 0.238



Number 1: final energy -5.519 eV/atom. Number 2: final energy -6.180 eV/atom. Number 3: final energy -7.415 eV/atom. Number 4: final energy -8.710 eV/atom. Number 5: final energy -3.648 eV/atom. Number 6: final energy -2.198 eV/atom.